A plane-wave DFT calculation with GGA-PBE was carried out for crystalline MgTiSnP3O12 at its relaxed geometry.

Cell: 8.7627 8.7627 20.9729 Å, 90.00 90.00 120.00°
With the nearest neighbours (Å) after each atom.
Space group R3c (No. 161, hexagonal axes)
One atom of each set of equivalent atoms:
1 Mg 0.0000 0.0000 0.0000 [6 per cell]  6 O 2.15-2.25
2 Ti 0.0000 0.0000 0.1400 [6 per cell]  6 O 1.98-2.11
3 Sn 0.0000 0.0000 0.3512 [6 per cell]  6 O 2.02-2.11
4 P 0.0001 0.2980 0.2449 [18 per cell]  4 O 1.52-1.58
5 O 0.0027 0.2063 0.3072 [18 per cell]  1 P 1.54
6 O 0.0133 0.1800 0.9208 [18 per cell]  1 P 1.58
7 O 0.1413 0.4643 0.8525 [18 per cell]  1 P 1.52
8 O 0.1652 0.4839 0.2378 [18 per cell]  1 P 1.55

Calculated density = 3.40 g/cm3
Formation energy (no corrections) = -2299 meV per atom
Fermi-level density of states = 18.7 states/eV/cell